# CaGePb2S (PBE-GGA, optimized geometry)
# total moment	1.28	μB per formula unit
# space group	No. 123
# mass density	4.918	g/cm³
# energy relative to the elements, uncorrected	0.92	eV/atom
# final energy	-13.5	eV per cell
data_CaGePb2S
_cell_length_a 5.959
_cell_length_b 5.959
_cell_length_c 5.316
_cell_angle_alpha 90.00
_cell_angle_beta 90.00
_cell_angle_gamma 90.00
_space_group_name_H-M_alt 'P 1'
_space_group_IT_number 1
loop_
_space_group_symop_operation_xyz
'x,y,z'
loop_
_atom_site_label
_atom_site_type_symbol
_atom_site_fract_x
_atom_site_fract_y
_atom_site_fract_z
Ca1 Ca 0.000 0.000 0.000
Ge1 Ge 0.000 0.000 0.500
Pb1 Pb 0.000 0.500 0.000
Pb2 Pb 0.500 0.000 0.000
S1 S 0.500 0.500 0.500